# 1
## Sm2Tm3Os2 (PBE-GGA)

Data for Sm2Tm3Os2 after structural relaxation.

Geometry as POSCAR:
```
Sm2Tm3Os2
1.0
5.9422 -1.9795 0.0000
5.9422 1.9795 0.0000
-3.4055 0.0000 7.6845
Sm Tm Os
2 3 2
Direct
0.1615 0.1615 0.3058
0.8385 0.8385 0.6942
0.3734 0.3734 0.0720
0.5000 0.5000 0.5000
0.6266 0.6266 0.9280
0.1740 0.1740 0.7193
0.8260 0.8260 0.2807
```

The density of states at the Fermi level comes out at 4.678 states/eV/cell. The calculation puts the total energy at -6.71 eV per atom. Its magnetic moment is 0.00 Bohr magnetons per cell. As for the calculated formation energy: -0.24 eV per atom.

# 2
## SmTm2Os (PBE-GGA)

Data for SmTm2Os after structural relaxation.

Geometry as POSCAR:
```
SmTm2Os
1.0
2.3797 1.3739 5.1158
-2.3797 1.3739 5.1158
0.0000 -2.7479 5.1158
Sm Tm Os
1 2 1
Direct
0.0000 0.0000 0.0000
0.2239 0.2239 0.2239
0.7761 0.7761 0.7761
0.5000 0.5000 0.5000
```

The density of states at the Fermi level comes out at 3.713 states/eV/cell. The calculation puts the total energy at -6.15 eV per atom. For the energy above the most stable polymorph in this dataset, the calculation gives 0.333 eV per atom. Its magnetic moment is 0.00 Bohr magnetons per cell. As for the calculated formation energy: 0.08 eV per atom.